## TbInNi (PBE)

Data for crystalline TbInNi at its relaxed geometry. Values from VASP.

Spin magnetization   0.0 Bohr magnetons per cell
Calculated formation energy   -1.11 eV/f.u.
V   21.43 A^3/atom
Calculated density   8.6 g/cm³
Crystal system   hexagonal
Density of states at the Fermi level   0.6158 states/eV/atom

Cell and atoms, written as Quantum ESPRESSO input:
```
&SYSTEM
  ibrav = 0, nat = 3, ntyp = 3
/
ATOMIC_SPECIES
Tb 158.93 Tb.upf
In 114.82 In.upf
Ni 58.69 Ni.upf
CELL_PARAMETERS angstrom
4.541 0.000 0.000
-2.271 3.933 0.000
0.000 0.000 3.600
ATOMIC_POSITIONS angstrom
Tb 0.000 0.000 0.000
In 2.271 1.311 1.800
Ni 0.000 2.622 1.800
```

## AcPm3 (PBE)

Data for crystalline AcPm3 at its relaxed geometry. Values from VASP.

Spin magnetization   0.0 Bohr magnetons per cell
Calculated formation energy   0.17 eV/f.u.
E above lowest polymorph   0.0147 eV per atom
V   37.19 A^3/atom
Calculated density   7.4 g/cm³
Crystal system   hexagonal
Density of states at the Fermi level   1.7101 states/eV/atom

Cell and atoms, written as Quantum ESPRESSO input:
```
&SYSTEM
  ibrav = 0, nat = 8, ntyp = 2
/
ATOMIC_SPECIES
Ac 227.00 Ac.upf
Pm 145.00 Pm.upf
CELL_PARAMETERS angstrom
7.557 0.000 0.000
-3.779 6.545 0.000
0.000 0.000 6.015
ATOMIC_POSITIONS angstrom
Ac 0.000 4.363 1.504
Ac 3.779 2.182 4.511
Pm 0.000 2.138 4.511
Pm -1.927 5.476 4.511
Pm 1.852 1.069 1.504
Pm 1.927 5.476 4.511
Pm 5.706 1.069 1.504
Pm 3.779 4.407 1.504
```

## TaAl2V2 (PBE)

Data for crystalline TaAl2V2 at its relaxed geometry. Values from VASP.

Spin magnetization   0.0 Bohr magnetons per cell
Calculated formation energy   1.52 eV/f.u.
E above lowest polymorph   0.4236 eV per atom
V   16.28 A^3/atom
Calculated density   6.9 g/cm³
Crystal system   tetragonal
Density of states at the Fermi level   0.8658 states/eV/atom

Cell and atoms, written as Quantum ESPRESSO input:
```
&SYSTEM
  ibrav = 0, nat = 5, ntyp = 3
/
ATOMIC_SPECIES
Ta 180.95 Ta.upf
Al 26.98 Al.upf
V 50.94 V.upf
CELL_PARAMETERS angstrom
-1.836 1.836 6.036
1.836 -1.836 6.036
1.836 1.836 -6.036
ATOMIC_POSITIONS angstrom
Ta 0.000 0.000 0.000
Al 1.836 0.000 3.018
Al 0.000 1.836 3.018
V 0.000 0.000 4.970
V 0.000 0.000 7.103
```

## Ac4Te6I (PBE)

Data for crystalline Ac4Te6I at its relaxed geometry. Values from VASP.

Spin magnetization   0.0 Bohr magnetons per cell
Formation energy (no corrections)   -1.414 eV per atom
V   37.61 A^3/atom
Calculated density   7.2 g/cm³
Crystal system   hexagonal
Density of states at the Fermi level   0.6689 states/eV/atom

Cell and atoms, written as Quantum ESPRESSO input:
```
&SYSTEM
  ibrav = 0, nat = 11, ntyp = 3
/
ATOMIC_SPECIES
Ac 227.00 Ac.upf
Te 127.60 Te.upf
I 126.90 I.upf
CELL_PARAMETERS angstrom
10.145 0.000 0.000
-5.073 8.786 0.000
0.000 0.000 4.641
ATOMIC_POSITIONS angstrom
Ac 0.000 0.000 0.000
Ac 5.073 0.175 2.321
Ac 2.688 4.306 2.321
Ac 7.457 4.306 2.321
Te 0.000 2.436 2.321
Te -2.963 7.568 2.321
Te 3.156 1.822 0.000
Te 2.963 7.568 2.321
Te 6.989 1.822 0.000
Te 5.073 5.142 0.000
I 0.000 5.857 0.000
```

## TlPdBr2F (PBE)

Data for crystalline TlPdBr2F at its relaxed geometry. Values from VASP.

Spin magnetization   0.0 Bohr magnetons per cell
Formation energy (no corrections)   -0.782 eV per atom
E above lowest polymorph   0.0000 eV per atom
V   24.26 A^3/atom
Calculated density   6.7 g/cm³
Crystal system   tetragonal
Density of states at the Fermi level   0.4230 states/eV/atom

Cell and atoms, written as Quantum ESPRESSO input:
```
&SYSTEM
  ibrav = 0, nat = 5, ntyp = 4
/
ATOMIC_SPECIES
Tl 204.38 Tl.upf
Pd 106.42 Pd.upf
Br 79.90 Br.upf
F 19.00 F.upf
CELL_PARAMETERS angstrom
5.318 0.000 0.000
0.000 5.318 0.000
0.000 0.000 4.288
ATOMIC_POSITIONS angstrom
Tl 0.000 0.000 0.000
Pd 2.659 2.659 2.144
Br 0.000 2.659 2.144
Br 2.659 0.000 2.144
F 2.659 2.659 0.000
```

## La2PrSm6Y3 (PBE)

Data for crystalline La2PrSm6Y3 at its relaxed geometry. Values from VASP.

Spin magnetization   0.0 Bohr magnetons per cell
Calculated formation energy   0.22 eV/f.u.
V   34.21 A^3/atom
Calculated density   6.4 g/cm³
Crystal system   monoclinic
Density of states at the Fermi level   1.5675 states/eV/atom

Cell and atoms, written as Quantum ESPRESSO input:
```
&SYSTEM
  ibrav = 0, nat = 12, ntyp = 4
/
ATOMIC_SPECIES
La 138.91 La.upf
Pr 140.91 Pr.upf
Sm 150.36 Sm.upf
Y 88.91 Y.upf
CELL_PARAMETERS angstrom
3.156 -5.471 0.000
3.156 5.471 0.000
-2.110 0.000 11.888
ATOMIC_POSITIONS angstrom
La 3.156 3.648 0.000
La 3.156 -3.648 0.000
Pr 3.156 0.000 0.000
Sm -0.006 1.823 8.858
Sm 1.054 0.000 3.030
Sm -0.006 -1.823 8.858
Sm 4.209 1.823 3.030
Sm 3.149 0.000 8.858
Sm 4.209 -1.823 3.030
Y -1.055 0.000 5.944
Y 2.101 1.822 5.944
Y 2.101 -1.822 5.944
```

Question: Which of these has the lowest V?
Answer: TaAl2V2